Run one
A relaxed MgHF crystal, computed with PBE. Values from VASP.

```
&SYSTEM
  ibrav = 0, nat = 3, ntyp = 3
/
ATOMIC_SPECIES
H 1.01 H.upf
Mg 24.30 Mg.upf
F 19.00 F.upf
CELL_PARAMETERS angstrom
2.6939 0.0000 0.0000
0.0000 2.6939 0.0000
-1.3470 -1.3470 4.4286
ATOMIC_POSITIONS angstrom
H 0.0000 0.0000 2.5425
Mg 1.3470 1.3470 1.4860
F 0.0000 0.0000 0.4001
```

Results
N(E_F)	0.000	states/eV per cell
space-group type	I4mm, No. 107
crystal system	tetragonal

---

Run two
A relaxed MgHF crystal, computed with PBE. Values from VASP.

```
&SYSTEM
  ibrav = 0, nat = 6, ntyp = 3
/
ATOMIC_SPECIES
Mg 24.30 Mg.upf
H 1.01 H.upf
F 19.00 F.upf
CELL_PARAMETERS angstrom
3.7855 0.0000 -0.0003
0.0000 3.1528 0.0000
-0.0792 0.0000 5.3760
ATOMIC_POSITIONS angstrom
Mg 2.7980 0.7882 1.4856
Mg 0.9083 2.3646 3.8900
H 0.8852 0.7882 4.8647
H 2.8211 2.3646 0.5110
F 0.9077 0.7882 2.2315
F 2.7986 2.3646 3.1442
```

Results
N(E_F)	0.000	states/eV per cell
space-group type	P2_1/m, No. 11
crystal system	monoclinic

---

Quick one: least stable of them? run one

---

Run one
A relaxed MgH2F crystal, computed with PBE. Values from VASP.

```
&SYSTEM
  ibrav = 0, nat = 4, ntyp = 3
/
ATOMIC_SPECIES
H 1.01 H.upf
Mg 24.30 Mg.upf
F 19.00 F.upf
CELL_PARAMETERS angstrom
0.0000 2.5557 2.5557
2.5557 0.0000 2.5557
2.5557 2.5557 0.0000
ATOMIC_POSITIONS angstrom
H 1.2778 1.2778 1.2778
H 3.8335 3.8335 3.8335
Mg 2.5557 2.5557 2.5557
F 0.0000 0.0000 0.0000
```

Results
N(E_F)	0.425	states/eV per cell
space-group type	Fm-3m, No. 225
crystal system	cubic

---

Run two
A relaxed MgH2F crystal, computed with PBE. Values from VASP.

```
&SYSTEM
  ibrav = 0, nat = 8, ntyp = 3
/
ATOMIC_SPECIES
H 1.01 H.upf
Mg 24.30 Mg.upf
F 19.00 F.upf
CELL_PARAMETERS angstrom
-1.4381 -2.6468 -0.1660
1.5008 -0.9679 2.4315
-5.4971 0.9145 5.6286
ATOMIC_POSITIONS angstrom
H -2.4451 -2.2084 1.5659
H -1.6946 -2.6922 2.7816
H -4.4746 -0.4276 4.4631
H -5.1936 -1.7511 4.3802
Mg 0.0000 0.0000 0.0000
Mg -3.4520 -1.7698 3.2977
F 0.0313 -1.8074 1.1327
F -1.9825 -0.9304 4.5964
```

Results
N(E_F)	0.984	states/eV per cell
space-group type	I4_1/amd, No. 141
crystal system	tetragonal

---

Quick one: least stable of them? run one

---

Run one
A relaxed MgHNF2 crystal, computed with PBE. Values from VASP.

```
&SYSTEM
  ibrav = 0, nat = 5, ntyp = 4
/
ATOMIC_SPECIES
H 1.01 H.upf
Mg 24.30 Mg.upf
N 14.01 N.upf
F 19.00 F.upf
CELL_PARAMETERS angstrom
3.9541 0.0000 0.0000
0.0000 3.9541 0.0000
0.0000 0.0000 2.7792
ATOMIC_POSITIONS angstrom
H 0.0000 0.0000 0.0000
Mg 1.9770 1.9770 1.3896
N 0.0000 0.0000 1.3896
F 0.0000 1.9770 0.0000
F 1.9770 0.0000 0.0000
```

Results
N(E_F)	0.261	states/eV per cell
space-group type	P4/mmm, No. 123
crystal system	tetragonal

---

Run two
A relaxed MgHNF2 crystal, computed with PBE. Values from VASP.

```
&SYSTEM
  ibrav = 0, nat = 5, ntyp = 4
/
ATOMIC_SPECIES
H 1.01 H.upf
Mg 24.30 Mg.upf
N 14.01 N.upf
F 19.00 F.upf
CELL_PARAMETERS angstrom
-0.7508 -1.0292 3.6648
0.1761 -3.7408 -1.0145
5.0142 -0.0395 1.0161
ATOMIC_POSITIONS angstrom
H 2.2198 -2.4047 1.8332
Mg 0.0000 0.0000 0.0000
N 2.5071 -0.0197 0.5081
F 0.0881 -1.8704 -0.5072
F -0.3754 -0.5146 1.8324
```

Results
N(E_F)	0.637	states/eV per cell
space-group type	P4/mmm, No. 123
crystal system	tetragonal

---

Quick one: least stable of them? run two